(1)
Here is PmHoMgOs after structural relaxation from Alexandria. Energies are from PBE-GGA.

Calculated values
V (Å³/cell): 90.9
Fermi-level density of states (states/eV/f.u.): 2.85
DFT formation energy (kJ/mol of atoms): -8.3
Excess energy over the best structure of this formula in the dataset (eV/f.u.): 0.230
Total DFT energy (no corrections) (eV per cell): -22.5

a = 5.0476 Å, b = 5.0476 Å, c = 5.0476 Å
α = 60.00°, β = 60.00°, γ = 60.00°
Sites, in units of the cell vectors:
Pm  0.0000  0.0000  0.0000
Ho  0.5000  0.5000  0.5000
Mg  0.7500  0.7500  0.7500
Os  0.2500  0.2500  0.2500

=====

(2)
Here is CaHfPd2 after structural relaxation from Alexandria. Energies are from PBE-GGA.

Calculated values
V (Å³/cell): 176.6
Fermi-level density of states (states/eV/f.u.): 1.75
DFT formation energy (kJ/mol of atoms): -23.4
Excess energy over the best structure of this formula in the dataset (eV/f.u.): 1.879
Total DFT energy (no corrections) (eV per cell): -46.6

a = 6.1583 Å, b = 6.1583 Å, c = 6.1583 Å
α = 105.27°, β = 105.27°, γ = 118.24°
Sites, in units of the cell vectors:
Ca  0.0000  0.0000  0.0000
Ca  0.7500  0.2500  0.5000
Hf  0.2500  0.7500  0.5000
Hf  0.5000  0.5000  0.0000
Pd  0.1584  0.6250  0.0334
Pd  0.3750  0.4084  0.5334
Pd  0.5916  0.1250  0.9666
Pd  0.8750  0.8416  0.4666

=====

Repeat the second record exactly.
Here is CaHfPd2 after structural relaxation from Alexandria. Energies are from PBE-GGA.

Calculated values
V (Å³/cell): 176.6
Fermi-level density of states (states/eV/f.u.): 1.75
DFT formation energy (kJ/mol of atoms): -23.4
Excess energy over the best structure of this formula in the dataset (eV/f.u.): 1.879
Total DFT energy (no corrections) (eV per cell): -46.6

a = 6.1583 Å, b = 6.1583 Å, c = 6.1583 Å
α = 105.27°, β = 105.27°, γ = 118.24°
Sites, in units of the cell vectors:
Ca  0.0000  0.0000  0.0000
Ca  0.7500  0.2500  0.5000
Hf  0.2500  0.7500  0.5000
Hf  0.5000  0.5000  0.0000
Pd  0.1584  0.6250  0.0334
Pd  0.3750  0.4084  0.5334
Pd  0.5916  0.1250  0.9666
Pd  0.8750  0.8416  0.4666